VASP calculation (GGA+U) on a relaxed PmMoRuO6 crystal.

The structure in POSCAR format:
```
PmMoRuO6
1.0
5.4816 0.0000 0.0000
-2.7408 4.7472 0.0000
0.0000 0.0000 8.4756
Ru Pm Mo O
2 2 2 12
Cartesian
0.0000 0.0000 0.0000
0.0000 0.0000 4.2378
2.7408 1.5824 6.3567
0.0000 3.1648 2.1189
0.0000 3.1648 6.3567
2.7408 1.5824 2.1189
1.6219 3.3519 5.2566
1.1189 1.3954 3.2190
2.0918 3.0805 1.0188
0.9729 4.4759 7.4568
4.3627 1.3954 1.0188
-0.9729 4.4759 5.2566
-1.6219 3.3519 7.4568
3.3898 3.0805 3.2190
1.7679 0.2713 1.0188
-0.6490 1.6667 5.2566
0.6490 1.6667 7.4568
3.7137 0.2713 3.2190
```

Results
total moment = 0.1126 μB per atom
DOS at the Fermi energy = 0.32 states/eV per atom
symmetry = P-31c, No. 163
E = -7.378 eV per atom